{"formula": "YCuTe2", "functional": "PBE-GGA", "state": "relaxed", "e_form_raw_ev_per_atom": -0.757, "final_energy_ev_per_atom": -4.967, "magmom_total_mub_per_cell": 0.0, "n_ef_per_ev_atom": 0.000, "sg": "No. 166", "lattice": [[2.617, 0.000, 8.192], [-1.308, 2.266, 8.192], [-1.308, -2.266, 8.192]], "species": ["Y", "Te", "Te", "Cu"], "frac_coords": [[0.500, 0.500, 0.500], [0.901, 0.901, 0.901], [0.099, 0.099, 0.099], [0.000, 0.000, 0.000]]}

=====

{"formula": "YCuTe2", "functional": "PBE-GGA", "state": "relaxed", "e_form_raw_ev_per_atom": -0.694, "final_energy_ev_per_atom": -4.905, "magmom_total_mub_per_cell": 0.0, "n_ef_per_ev_atom": 0.000, "sg": "No. 122", "lattice": [[6.485, 0.000, 0.000], [0.000, 6.485, 0.000], [3.243, 3.243, 6.399]], "species": ["Y", "Y", "Te", "Te", "Te", "Te", "Cu", "Cu"], "frac_coords": [[0.750, 0.250, 0.500], [0.000, 0.000, 0.000], [0.582, 0.125, 0.250], [0.875, 0.832, 0.750], [0.168, 0.625, 0.250], [0.375, 0.418, 0.750], [0.250, 0.750, 0.500], [0.500, 0.500, 0.000]]}

=====

{"formula": "YCu3Te", "functional": "PBE-GGA", "state": "relaxed", "e_form_raw_ev_per_atom": 0.464, "final_energy_ev_per_atom": -3.915, "magmom_total_mub_per_cell": 0.0, "n_ef_per_ev_atom": 0.746, "sg": "No. 221", "lattice": [[-0.061, 2.614, 4.107], [-4.651, 1.182, -0.822], [-1.439, -3.934, 2.483]], "species": ["Te", "Cu", "Cu", "Cu", "Y"], "frac_coords": [[0.000, 0.000, 0.000], [0.000, 0.500, 0.000], [0.000, 0.000, 0.500], [0.500, 0.000, 0.000], [0.500, 0.500, 0.500]]}

=====

{"formula": "YCuTe2", "functional": "PBE-GGA", "state": "relaxed", "e_form_raw_ev_per_atom": -0.751, "final_energy_ev_per_atom": -4.962, "magmom_total_mub_per_cell": 0.0, "sg": "No. 12", "lattice": [[-2.730, -2.162, 2.835], [-0.021, -4.483, 0.264], [4.896, -0.102, 5.250]], "species": ["Y", "Te", "Te", "Cu"], "frac_coords": [[0.750, 0.750, 0.750], [0.439, 0.439, 0.511], [0.061, 0.061, 0.989], [0.250, 0.250, 0.250]]}

=====

{"formula": "Y2CuTe2", "functional": "PBE-GGA", "state": "relaxed", "e_form_raw_ev_per_atom": -0.738, "final_energy_ev_per_atom": -5.400, "magmom_total_mub_per_cell": 0.0, "n_ef_per_ev_atom": 0.513, "sg": "No. 127", "lattice": [[-4.033, 3.260, 6.188], [-1.307, -7.368, 3.031], [3.392, 0.253, 2.078]], "species": ["Te", "Te", "Te", "Te", "Y", "Y", "Y", "Y", "Cu", "Cu"], "frac_coords": [[0.651, 0.151, 0.000], [0.349, 0.849, 0.000], [0.849, 0.651, 0.000], [0.151, 0.349, 0.000], [0.152, 0.652, 0.500], [0.652, 0.848, 0.500], [0.848, 0.348, 0.500], [0.348, 0.152, 0.500], [0.000, 0.000, 0.000], [0.500, 0.500, 0.000]]}

=====

{"formula": "YCuTe2", "functional": "PBE-GGA", "state": "relaxed", "e_form_raw_ev_per_atom": -0.894, "final_energy_ev_per_atom": -5.105, "magmom_total_mub_per_cell": 0.0, "n_ef_per_ev_atom": 0.000, "sg": "No. 156", "lattice": [[4.365, 0.000, 0.000], [-2.183, 3.780, 0.000], [0.000, 0.000, 6.919]], "species": ["Cu", "Te", "Te", "Y"], "frac_coords": [[0.333, 0.667, 0.134], [0.333, 0.667, 0.753], [0.667, 0.333, 0.231], [0.000, 0.000, 0.507]]}

=====

{"formula": "YCuTe2", "functional": "PBE-GGA", "state": "relaxed", "e_form_raw_ev_per_atom": -0.731, "final_energy_ev_per_atom": -4.942, "magmom_total_mub_per_cell": 0.0, "n_ef_per_ev_atom": 0.169, "sg": "No. 44", "lattice": [[-5.068, 6.578, 1.031], [-8.102, 2.086, -0.146], [6.357, -4.954, 2.251]], "species": ["Te", "Te", "Y", "Cu"], "frac_coords": [[0.984, 0.984, 0.000], [0.225, 0.725, 0.500], [0.567, 0.567, 0.000], [0.724, 0.224, 0.500]]}

=====

{"formula": "YCuTe2", "functional": "PBE-GGA", "state": "relaxed", "e_form_raw_ev_per_atom": -0.714, "final_energy_ev_per_atom": -4.925, "magmom_total_mub_per_cell": 0.0, "n_ef_per_ev_atom": 0.232, "sg": "No. 99", "lattice": [[-1.768, -2.775, -2.520], [1.233, -3.062, 2.507], [-5.341, 0.483, 3.217]], "species": ["Cu", "Te", "Te", "Y"], "frac_coords": [[0.500, 0.500, 0.771], [0.000, 0.000, 0.920], [0.500, 0.500, 0.349], [0.000, 0.000, 0.461]]}